1.
{
  "formula": "Rb2SrMgBr6",
  "functional": "GGA-PBE",
  "state": "optimized geometry",
  "dos_ef_per_ev_fu": 0.00,
  "vol_a3_per_fu": 356,
  "total_magnetization_mub_per_fu": 0.0,
  "lattice": [[-0.513, -6.834, -3.850], [7.956, 0.116, -1.267], [1.619, -5.492, 9.669]],
  "species": ["Rb", "Rb", "Rb", "Rb", "Sr", "Sr", "Mg", "Mg", "Br", "Br", "Br", "Br", "Br", "Br", "Br", "Br", "Br", "Br", "Br", "Br"],
  "frac_coords": [[0.016, 0.945, 0.248], [0.516, 0.555, 0.748], [0.984, 0.055, 0.752], [0.484, 0.445, 0.252], [0.500, 0.000, 0.000], [0.000, 0.500, 0.500], [0.500, 0.000, 0.500], [0.000, 0.500, 0.000], [0.278, 0.694, 0.038], [0.778, 0.806, 0.538], [0.722, 0.306, 0.962], [0.222, 0.194, 0.462], [0.308, 0.723, 0.460], [0.808, 0.777, 0.960], [0.692, 0.277, 0.540], [0.192, 0.223, 0.040], [0.924, 0.515, 0.235], [0.424, 0.985, 0.735], [0.076, 0.485, 0.765], [0.576, 0.015, 0.265]]
}

2.
{
  "formula": "Rb2SrMgBr6",
  "functional": "GGA-PBE",
  "state": "optimized geometry",
  "dos_ef_per_ev_fu": 0.00,
  "vol_a3_per_fu": 366,
  "total_magnetization_mub_per_fu": 0.0,
  "lattice": [[8.033, 0.000, 0.000], [0.000, 8.033, 0.000], [4.016, 4.016, 5.680]],
  "species": ["Sr", "Mg", "Br", "Br", "Br", "Br", "Br", "Br", "Rb", "Rb"],
  "frac_coords": [[0.000, 0.000, 0.000], [0.500, 0.500, 0.000], [0.264, 0.264, 0.473], [0.736, 0.736, 0.527], [0.264, 0.264, 0.000], [0.736, 0.736, 0.000], [0.736, 0.264, 0.000], [0.264, 0.736, 0.000], [0.750, 0.250, 0.500], [0.250, 0.750, 0.500]]
}

Most stable structure, least stable structure: 1, 2.

1.
{
  "formula": "Mg2ReBr",
  "functional": "GGA-PBE",
  "state": "optimized geometry",
  "dos_ef_per_ev_fu": 2.24,
  "vol_a3_per_fu": 80,
  "total_magnetization_mub_per_fu": 0.9,
  "lattice": [[-2.541, -0.261, -1.728], [1.649, -1.597, -2.184], [-1.838, -7.031, 3.767]],
  "species": ["Br", "Mg", "Mg", "Re"],
  "frac_coords": [[0.500, 0.750, 0.750], [0.000, 0.749, 0.028], [0.000, 0.751, 0.472], [0.500, 0.250, 0.250]]
}

2.
{
  "formula": "Mg2ReBr",
  "functional": "GGA-PBE",
  "state": "optimized geometry",
  "dos_ef_per_ev_fu": 2.22,
  "vol_a3_per_fu": 74,
  "total_magnetization_mub_per_fu": 0.0,
  "lattice": [[-4.976, -1.137, 2.514], [-3.831, -3.879, 1.629], [-0.103, -1.601, 4.824]],
  "species": ["Br", "Mg", "Mg", "Re"],
  "frac_coords": [[0.250, 0.250, 0.250], [0.996, 0.996, 0.009], [0.504, 0.504, 0.491], [0.750, 0.750, 0.750]]
}

3.
{
  "formula": "Mg2ReBr",
  "functional": "GGA-PBE",
  "state": "optimized geometry",
  "dos_ef_per_ev_fu": 2.04,
  "vol_a3_per_fu": 78,
  "total_magnetization_mub_per_fu": 0.0,
  "lattice": [[2.930, 0.000, 0.000], [0.000, 6.308, -0.013], [0.000, 3.627, 4.219]],
  "species": ["Br", "Mg", "Mg", "Re"],
  "frac_coords": [[0.000, 0.000, 0.500], [0.000, 0.000, 0.000], [0.500, 0.500, 0.000], [0.500, 0.500, 0.500]]
}

Most stable structure, least stable structure: 1, 2.

1.
{
  "formula": "Mg2ReBr",
  "functional": "GGA-PBE",
  "state": "optimized geometry",
  "dos_ef_per_ev_fu": 4.39,
  "vol_a3_per_fu": 83,
  "total_magnetization_mub_per_fu": 2.1,
  "lattice": [[0.000, 3.458, 3.458], [3.458, 0.000, 3.458], [3.458, 3.458, 0.000]],
  "species": ["Re", "Mg", "Mg", "Br"],
  "frac_coords": [[0.500, 0.500, 0.500], [0.250, 0.250, 0.250], [0.750, 0.750, 0.750], [0.000, 0.000, 0.000]]
}

2.
{
  "formula": "Mg2ReBr",
  "functional": "GGA-PBE",
  "state": "optimized geometry",
  "dos_ef_per_ev_fu": 3.72,
  "vol_a3_per_fu": 83,
  "total_magnetization_mub_per_fu": 2.0,
  "lattice": [[-7.274, -1.712, 0.443], [1.745, -6.648, 2.966], [-2.878, -2.992, 4.434]],
  "species": ["Re", "Re", "Mg", "Mg", "Mg", "Mg", "Br", "Br"],
  "frac_coords": [[0.000, 0.000, 0.000], [0.750, 0.250, 0.500], [0.617, 0.125, 0.250], [0.133, 0.625, 0.250], [0.375, 0.383, 0.750], [0.875, 0.867, 0.750], [0.500, 0.500, 0.000], [0.250, 0.750, 0.500]]
}

3.
{
  "formula": "Mg2ReBr",
  "functional": "GGA-PBE",
  "state": "optimized geometry",
  "dos_ef_per_ev_fu": 3.04,
  "vol_a3_per_fu": 78,
  "total_magnetization_mub_per_fu": 1.2,
  "lattice": [[5.703, -0.002, 0.000], [2.971, 4.868, 0.000], [-4.337, -2.433, 2.792]],
  "species": ["Br", "Mg", "Mg", "Re"],
  "frac_coords": [[0.750, 0.250, 0.500], [0.000, 0.000, 0.000], [0.250, 0.750, 0.500], [0.500, 0.500, 0.000]]
}

4.
{
  "formula": "Mg2ReBr",
  "functional": "GGA-PBE",
  "state": "optimized geometry",
  "dos_ef_per_ev_fu": 3.51,
  "vol_a3_per_fu": 86,
  "total_magnetization_mub_per_fu": 0.2,
  "lattice": [[3.077, -0.146, 0.000], [-1.453, 2.716, 0.000], [0.000, 0.000, 10.573]],
  "species": ["Br", "Mg", "Mg", "Re"],
  "frac_coords": [[0.500, 0.500, 0.695], [0.000, 0.000, 0.018], [0.500, 0.500, 0.284], [0.000, 0.000, 0.503]]
}

Most stable structure, least stable structure: 4, 1.

1.
{
  "formula": "Mg2ReBr",
  "functional": "GGA-PBE",
  "state": "optimized geometry",
  "dos_ef_per_ev_fu": 3.11,
  "vol_a3_per_fu": 75,
  "total_magnetization_mub_per_fu": 0.0,
  "lattice": [[3.057, 0.000, 0.000], [0.000, 5.093, 0.000], [0.000, 0.000, 4.810]],
  "species": ["Br", "Mg", "Mg", "Re"],
  "frac_coords": [[0.000, 0.500, 0.500], [0.000, 0.000, 0.000], [0.500, 0.500, 0.000], [0.500, 0.000, 0.500]]
}

2.
{
  "formula": "Mg2ReBr",
  "functional": "GGA-PBE",
  "state": "optimized geometry",
  "dos_ef_per_ev_fu": 2.56,
  "vol_a3_per_fu": 77,
  "total_magnetization_mub_per_fu": 1.9,
  "lattice": [[4.776, 0.000, 0.000], [2.388, 4.137, 0.000], [2.388, 1.379, 3.900]],
  "species": ["Br", "Mg", "Mg", "Re"],
  "frac_coords": [[0.500, 0.500, 0.500], [0.000, 0.000, 0.000], [0.250, 0.250, 0.250], [0.750, 0.750, 0.750]]
}

Most stable structure, least stable structure: 1, 2.

1.
{
  "formula": "MgRe3Br",
  "functional": "GGA-PBE",
  "state": "optimized geometry",
  "dos_ef_per_ev_fu": 7.76,
  "vol_a3_per_fu": 98,
  "total_magnetization_mub_per_fu": 0.0,
  "lattice": [[4.608, 0.000, 0.000], [0.000, 4.608, 0.000], [0.000, 0.000, 4.608]],
  "species": ["Re", "Re", "Re", "Mg", "Br"],
  "frac_coords": [[0.000, 0.500, 0.000], [0.000, 0.000, 0.500], [0.500, 0.000, 0.000], [0.000, 0.000, 0.000], [0.500, 0.500, 0.500]]
}

2.
{
  "formula": "MgRe3Br",
  "functional": "GGA-PBE",
  "state": "optimized geometry",
  "dos_ef_per_ev_fu": 6.03,
  "vol_a3_per_fu": 96,
  "total_magnetization_mub_per_fu": 0.0,
  "lattice": [[4.575, 0.000, 0.000], [0.000, 4.575, 0.000], [0.000, 0.000, 4.575]],
  "species": ["Re", "Re", "Re", "Mg", "Br"],
  "frac_coords": [[0.000, 0.500, 0.000], [0.000, 0.000, 0.500], [0.500, 0.000, 0.000], [0.500, 0.500, 0.500], [0.000, 0.000, 0.000]]
}

Most stable structure, least stable structure: 2, 1.

1.
{
  "formula": "Mg3ReBr",
  "functional": "GGA-PBE",
  "state": "optimized geometry",
  "dos_ef_per_ev_fu": 6.95,
  "vol_a3_per_fu": 151,
  "total_magnetization_mub_per_fu": 2.8,
  "lattice": [[5.320, 0.000, 0.000], [0.000, 5.320, 0.000], [0.000, 0.000, 5.320]],
  "species": ["Re", "Mg", "Mg", "Mg", "Br"],
  "frac_coords": [[0.000, 0.000, 0.000], [0.000, 0.500, 0.000], [0.000, 0.000, 0.500], [0.500, 0.000, 0.000], [0.500, 0.500, 0.500]]
}

2.
{
  "formula": "Mg3ReBr",
  "functional": "GGA-PBE",
  "state": "optimized geometry",
  "dos_ef_per_ev_fu": 3.00,
  "vol_a3_per_fu": 114,
  "total_magnetization_mub_per_fu": 0.0,
  "lattice": [[4.851, 0.000, 0.000], [0.000, 4.851, 0.000], [0.000, 0.000, 4.851]],
  "species": ["Re", "Mg", "Mg", "Mg", "Br"],
  "frac_coords": [[0.500, 0.500, 0.500], [0.000, 0.500, 0.000], [0.000, 0.000, 0.500], [0.500, 0.000, 0.000], [0.000, 0.000, 0.000]]
}

Most stable structure, least stable structure: 1, 2.

1.
{
  "formula": "MgReSe2Br",
  "functional": "GGA-PBE",
  "state": "optimized geometry",
  "dos_ef_per_ev_fu": 3.27,
  "vol_a3_per_fu": 136,
  "total_magnetization_mub_per_fu": 4.5,
  "lattice": [[-2.715, -3.873, 2.372], [2.682, 0.587, 4.028], [-3.486, 3.548, 1.803]],
  "species": ["Re", "Mg", "Se", "Se", "Br"],
  "frac_coords": [[0.500, 0.500, 0.500], [0.000, 0.500, 0.000], [0.000, 0.000, 0.500], [0.500, 0.000, 0.000], [0.000, 0.000, 0.000]]
}

2.
{
  "formula": "MgReSe2Br",
  "functional": "GGA-PBE",
  "state": "optimized geometry",
  "dos_ef_per_ev_fu": 3.57,
  "vol_a3_per_fu": 126,
  "total_magnetization_mub_per_fu": 0.0,
  "lattice": [[-4.792, 0.287, 0.586], [-0.339, -4.807, -0.415], [0.623, -0.505, 5.340]],
  "species": ["Re", "Mg", "Se", "Se", "Br"],
  "frac_coords": [[0.000, 0.000, 0.000], [0.500, 0.500, 0.500], [0.000, 0.500, 0.000], [0.500, 0.000, 0.000], [0.000, 0.000, 0.500]]
}

Most stable structure, least stable structure: 2, 1.

1.
{
  "formula": "MgRhBr2",
  "functional": "GGA-PBE",
  "state": "optimized geometry",
  "dos_ef_per_ev_fu": 1.41,
  "vol_a3_per_fu": 91,
  "total_magnetization_mub_per_fu": 0.0,
  "lattice": [[4.910, 0.000, 0.000], [0.000, 4.157, -0.004], [0.000, 1.273, 4.437]],
  "species": ["Br", "Br", "Mg", "Rh"],
  "frac_coords": [[0.000, 0.926, 0.939], [0.500, 0.303, 0.358], [0.000, 0.566, 0.528], [0.500, 0.704, 0.675]]
}

2.
{
  "formula": "MgRhBr2",
  "functional": "GGA-PBE",
  "state": "optimized geometry",
  "dos_ef_per_ev_fu": 1.47,
  "vol_a3_per_fu": 101,
  "total_magnetization_mub_per_fu": 0.0,
  "lattice": [[-4.481, -1.412, 6.617], [-7.473, -1.983, 2.466], [6.787, -0.741, -4.387]],
  "species": ["Br", "Br", "Mg", "Rh"],
  "frac_coords": [[0.012, 0.012, 0.000], [0.768, 0.268, 0.500], [0.428, 0.428, 0.000], [0.292, 0.792, 0.500]]
}

3.
{
  "formula": "MgRhBr2",
  "functional": "GGA-PBE",
  "state": "optimized geometry",
  "dos_ef_per_ev_fu": 1.71,
  "vol_a3_per_fu": 88,
  "total_magnetization_mub_per_fu": 0.9,
  "lattice": [[5.289, -0.016, -0.026], [0.453, 5.270, 0.026], [-1.712, -3.895, 3.143]],
  "species": ["Br", "Br", "Mg", "Rh"],
  "frac_coords": [[0.006, 0.006, 0.000], [0.494, 0.494, 0.000], [0.750, 0.250, 0.500], [0.250, 0.750, 0.500]]
}

Most stable structure, least stable structure: 2, 3.